TlCrAs: relaxed, GGA-PBE.

Cell and atoms, written as extended XYZ:
```
3
Lattice="6.1179 -1.6918 0.0000 6.1179 1.6918 0.0000 -0.9224 0.0000 3.2554" Properties=species:S:1:pos:R:3 pbc="T T T"
Tl 0.0000 0.0000 0.0000
Cr 3.2672 0.0000 0.9393
As 8.1641 0.0000 2.3511
```

Results
ΔE to the lowest computed polymorph (kJ per mole of atoms): 21.1
Electronic total energy (eV/cell): -16.04
Space group: Cm (8)
DOS(E_F) (states/eV/f.u.): 2.32
Crystal system: monoclinic

Cu2Sn2Pd5: relaxed, GGA-PBE.

Cell and atoms, written as extended XYZ:
```
18
Lattice="-8.4759 3.0958 2.8583 8.4759 -3.0958 2.8583 8.4759 3.0958 -2.8583" Properties=species:S:1:pos:R:3 pbc="T T T"
Cu 0.9997 0.5432 0.0000
Cu 7.4761 0.5432 0.0000
Cu 0.9997 2.5526 2.8583
Cu 7.4761 2.5526 2.8583
Sn 4.2379 -0.2007 2.8515
Sn 8.4759 0.0000 2.8568
Sn 0.0000 0.0000 2.8568
Sn 4.2379 3.2965 -0.0068
Pd 1.8884 4.6429 1.4274
Pd -1.8884 1.5471 4.2857
Pd 12.7138 0.3477 -0.0010
Pd -1.8884 1.5487 1.4274
Pd 2.7641 1.5521 1.4250
Pd 5.7118 1.5521 1.4250
Pd 10.3643 1.5487 1.4274
Pd -4.2379 2.7481 2.8573
Pd -2.7641 4.6395 1.4250
Pd 2.7641 1.5437 4.2833
```

Results
Electronic total energy (eV/cell): -88.14
Space group: Ima2 (46)
DOS(E_F) (states/eV/f.u.): 4.42
Crystal system: orthorhombic

AgHgGeAu: relaxed, GGA-PBE.

Cell and atoms, written as extended XYZ:
```
4
Lattice="0.0000 3.4159 3.4159 3.4159 0.0000 3.4159 3.4159 3.4159 0.0000" Properties=species:S:1:pos:R:3 pbc="T T T"
Ag 0.0000 0.0000 0.0000
Hg 1.7080 1.7080 1.7080
Ge 3.4159 3.4159 3.4159
Au 5.1239 5.1239 5.1239
```

Results
Electronic total energy (eV/cell): -10.30
Space group: F-43m (216)
DOS(E_F) (states/eV/f.u.): 1.57
Crystal system: cubic

YAuSe2N: relaxed, GGA-PBE.

Cell and atoms, written as extended XYZ:
```
5
Lattice="5.5346 0.0000 0.0000 0.0000 5.5346 0.0000 0.0000 0.0000 4.2406" Properties=species:S:1:pos:R:3 pbc="T T T"
Y 0.0000 0.0000 0.0000
Au 2.7673 2.7673 2.1203
Se 0.0000 2.7673 0.0000
Se 2.7673 0.0000 0.0000
N 0.0000 0.0000 2.1203
```

Results
ΔE to the lowest computed polymorph (kJ per mole of atoms): 36.9
Electronic total energy (eV/cell): -22.48
Space group: P4/mmm (123)
DOS(E_F) (states/eV/f.u.): 8.65
ΔE_f (raw) (eV/atom): 0.510
Crystal system: tetragonal

YSi2As: relaxed, GGA-PBE.

Cell and atoms, written as extended XYZ:
```
4
Lattice="4.7452 -1.8077 0.0000 4.7452 1.8077 0.0000 -1.8921 0.0000 4.5551" Properties=species:S:1:pos:R:3 pbc="T T T"
Y 0.0000 0.0000 0.0000
Si 0.8914 0.0000 3.0130
Si 3.9591 0.0000 2.3520
As 6.8044 0.0000 1.5821
```

Results
Electronic total energy (eV/cell): -23.18
Space group: Cm (8)
DOS(E_F) (states/eV/f.u.): 1.59
ΔE_f (raw) (eV/atom): -0.306
Crystal system: monoclinic

CePrYCd: relaxed, GGA-PBE.

Cell and atoms, written as extended XYZ:
```
4
Lattice="0.0000 3.8778 3.8778 3.8778 0.0000 3.8778 3.8778 3.8778 0.0000" Properties=species:S:1:pos:R:3 pbc="T T T"
Ce 0.0000 0.0000 0.0000
Pr 5.8167 5.8167 5.8167
Y 1.9389 1.9389 1.9389
Cd 3.8778 3.8778 3.8778
```

Results
Electronic total energy (eV/cell): -17.87
Space group: F-43m (216)
DOS(E_F) (states/eV/f.u.): 9.80
Crystal system: cubic

La14TmIn: relaxed, GGA-PBE.

Cell and atoms, written as extended XYZ:
```
16
Lattice="7.3235 0.0000 0.0000 0.0000 7.3235 0.0000 0.0000 0.0000 10.4235" Properties=species:S:1:pos:R:3 pbc="T T T"
La 0.0000 0.0000 0.0000
La 0.0000 3.6617 0.0000
La 0.0000 3.6617 5.2117
La 1.7987 1.7987 2.6653
La 1.7987 1.7987 7.7582
La 1.7987 5.5248 2.6653
La 1.7987 5.5248 7.7582
La 3.6617 0.0000 0.0000
La 3.6617 0.0000 5.2117
La 3.6617 3.6617 0.0000
La 5.5248 1.7987 2.6653
La 5.5248 1.7987 7.7582
La 5.5248 5.5248 2.6653
La 5.5248 5.5248 7.7582
Tm 3.6617 3.6617 5.2117
In 0.0000 0.0000 5.2117
```

Results
Electronic total energy (eV/cell): -77.17
Space group: P4/mmm (123)
DOS(E_F) (states/eV/f.u.): 21.42
Crystal system: tetragonal

Ge2HOsF: relaxed, GGA-PBE.

Cell and atoms, written as extended XYZ:
```
5
Lattice="4.7806 0.0000 0.0000 0.0000 4.7806 0.0000 0.0000 0.0000 4.1309" Properties=species:S:1:pos:R:3 pbc="T T T"
Ge 0.0000 2.3903 0.0000
Ge 2.3903 0.0000 0.0000
H 0.0000 0.0000 2.0655
Os 2.3903 2.3903 0.0000
F 2.3903 2.3903 2.0655
```

Results
Electronic total energy (eV/cell): -24.16
Space group: P4/mmm (123)
DOS(E_F) (states/eV/f.u.): 0.34
Crystal system: tetragonal

AcErTeAs: relaxed, GGA-PBE.

Cell and atoms, written as extended XYZ:
```
4
Lattice="2.1478 1.2400 7.7547 -2.1478 1.2400 7.7547 0.0000 -2.4800 7.7547" Properties=species:S:1:pos:R:3 pbc="T T T"
Ac 0.0000 0.0000 0.0000
Er 0.0000 0.0000 4.3905
Te 0.0000 0.0000 10.1139
As 0.0000 0.0000 13.6518
```

Results
Electronic total energy (eV/cell): -22.09
Space group: R3m (160)
DOS(E_F) (states/eV/f.u.): 2.55
ΔE_f (raw) (eV/atom): -1.406
Crystal system: trigonal

ZrCoNi2Mo: relaxed, GGA-PBE.

Cell and atoms, written as extended XYZ:
```
5
Lattice="4.3359 0.0000 0.0000 0.0000 4.3359 0.0000 0.0000 0.0000 4.3191" Properties=species:S:1:pos:R:3 pbc="T T T"
Zr 0.0000 0.0000 0.0000
Co 2.1679 2.1679 2.1595
Ni 0.0000 2.1679 2.1595
Ni 2.1679 0.0000 2.1595
Mo 2.1679 2.1679 0.0000
```

Results
Electronic total energy (eV/cell): -34.99
Space group: P4/mmm (123)
DOS(E_F) (states/eV/f.u.): 7.41
Crystal system: tetragonal

BeIn2Ga2: relaxed, GGA-PBE.

Cell and atoms, written as extended XYZ:
```
10
Lattice="6.2690 0.0000 0.0000 0.0000 6.2690 0.0000 0.0000 0.0000 5.2512" Properties=species:S:1:pos:R:3 pbc="T T T"
Be 0.0000 0.0000 0.0000
Be 3.1345 3.1345 0.0000
In 1.1267 2.0078 2.6256
In 2.0078 5.1423 2.6256
In 4.2612 1.1267 2.6256
In 5.1423 4.2612 2.6256
Ga 0.9572 4.0917 0.0000
Ga 2.1773 0.9572 0.0000
Ga 4.0917 5.3118 0.0000
Ga 5.3118 2.1773 0.0000
```

Results
ΔE to the lowest computed polymorph (kJ per mole of atoms): 0.0
Electronic total energy (eV/cell): -28.27
Space group: P4/mbm (127)
DOS(E_F) (states/eV/f.u.): 1.71
Crystal system: tetragonal

GdTiIrRu: relaxed, GGA-PBE.

Cell and atoms, written as extended XYZ:
```
4
Lattice="0.0000 3.2727 3.2727 3.2727 0.0000 3.2727 3.2727 3.2727 0.0000" Properties=species:S:1:pos:R:3 pbc="T T T"
Gd 0.0000 0.0000 0.0000
Ti 3.2727 3.2727 3.2727
Ir 1.6363 1.6363 1.6363
Ru 4.9090 4.9090 4.9090
```

Results
Electronic total energy (eV/cell): -42.10
Space group: F-43m (216)
DOS(E_F) (states/eV/f.u.): 2.57
Crystal system: cubic

Sc2SiAu: relaxed, GGA-PBE.

Cell and atoms, written as extended XYZ:
```
4
Lattice="-1.7503 2.1934 4.9517 1.7503 -2.1934 4.9517 1.7503 2.1934 -4.9517" Properties=species:S:1:pos:R:3 pbc="T T T"
Sc 0.0000 0.0000 0.0000
Sc 0.0000 2.1934 2.2662
Si 1.7503 0.0000 2.6425
Au 0.0000 0.0000 4.6247
```

Results
Electronic total energy (eV/cell): -23.81
Space group: Imm2 (44)
DOS(E_F) (states/eV/f.u.): 3.44
ΔE_f (raw) (eV/atom): -0.613
Crystal system: orthorhombic

Sr2SO: relaxed, GGA-PBE.

Cell and atoms, written as extended XYZ:
```
4
Lattice="4.0415 0.0000 0.0000 0.0000 4.0415 0.0000 0.0000 0.0000 5.7210" Properties=species:S:1:pos:R:3 pbc="T T T"
Sr 0.0000 0.0000 0.0000
Sr 2.0207 2.0207 2.8605
S 0.0000 0.0000 2.8605
O 2.0207 2.0207 0.0000
```

Results
ΔE to the lowest computed polymorph (kJ per mole of atoms): 11.6
Electronic total energy (eV/cell): -21.32
Space group: P4/mmm (123)
DOS(E_F) (states/eV/f.u.): 0.00
ΔE_f (raw) (eV/atom): -2.218
Crystal system: tetragonal

Li3PuSb2: relaxed, GGA-PBE.

Cell and atoms, written as extended XYZ:
```
12
Lattice="-3.3470 7.6648 2.8766 3.3470 -7.6648 2.8766 3.3470 7.6648 -2.8766" Properties=species:S:1:pos:R:3 pbc="T T T"
Li 3.3470 -3.4425 1.4383
Li 0.0000 0.0000 1.4383
Li 3.3470 3.4425 1.4383
Li 0.0000 4.2224 1.4383
Li 0.0000 0.0000 4.3150
Li 0.0000 11.1073 1.4383
Pu 3.3470 0.0000 0.0000
Pu 0.0000 7.6648 0.0000
Sb 1.2384 2.1023 0.0000
Sb 1.2384 -2.1023 2.8766
Sb 2.1085 9.7672 0.0000
Sb 2.1085 5.5625 2.8766
```

Results
Electronic total energy (eV/cell): -60.30
Space group: Ibam (72)
DOS(E_F) (states/eV/f.u.): 9.09
ΔE_f (raw) (eV/atom): -0.305
Crystal system: orthorhombic

Y2ZrHg: relaxed, GGA-PBE.

Cell and atoms, written as extended XYZ:
```
8
Lattice="-2.2445 2.2445 10.8534 2.2445 -2.2445 10.8534 2.2445 2.2445 -10.8534" Properties=species:S:1:pos:R:3 pbc="T T T"
Y 3.3667 1.0940 -2.7133
Y 1.0940 1.1222 2.7133
Y -1.1222 1.1505 8.1400
Y 1.1505 1.1222 13.5667
Zr 2.2445 0.0000 5.4267
Zr 0.0000 0.0000 10.8534
Hg 0.0000 0.0000 0.0000
Hg 0.0000 2.2445 5.4267
```

Results
Electronic total energy (eV/cell): -41.33
Space group: I-42d (122)
DOS(E_F) (states/eV/f.u.): 3.10
Crystal system: tetragonal

LaPmSCl: relaxed, GGA-PBE.

Cell and atoms, written as extended XYZ:
```
4
Lattice="1.9858 1.1465 7.4249 -1.9858 1.1465 7.4249 0.0000 -2.2930 7.4249" Properties=species:S:1:pos:R:3 pbc="T T T"
La 0.0000 0.0000 0.0000
Pm 0.0000 0.0000 18.0397
S 0.0000 0.0000 9.0727
Cl 0.0000 0.0000 5.1867
```

Results
Electronic total energy (eV/cell): -22.60
Space group: R3m (160)
DOS(E_F) (states/eV/f.u.): 2.94
ΔE_f (raw) (eV/atom): -1.738
Crystal system: trigonal

KSr2Au: relaxed, GGA-PBE.

Cell and atoms, written as extended XYZ:
```
4
Lattice="-2.0804 3.3569 6.5222 2.0804 -3.3569 6.5222 2.0804 3.3569 -6.5222" Properties=species:S:1:pos:R:3 pbc="T T T"
K 0.0000 0.0000 0.0000
Sr 2.0804 0.0000 4.1777
Sr 0.0000 3.3569 2.3445
Au 0.0000 0.0000 6.5222
```

Results
ΔE to the lowest computed polymorph (kJ per mole of atoms): 13.4
Electronic total energy (eV/cell): -8.73
Space group: Immm (71)
DOS(E_F) (states/eV/f.u.): 2.81
Crystal system: orthorhombic

NbHgP3: relaxed, GGA-PBE.

Cell and atoms, written as extended XYZ:
```
5
Lattice="4.8192 0.0000 0.0000 0.0000 4.8192 0.0000 0.0000 0.0000 4.8192" Properties=species:S:1:pos:R:3 pbc="T T T"
Nb 0.0000 0.0000 0.0000
Hg 2.4096 2.4096 2.4096
P 0.0000 2.4096 2.4096
P 2.4096 0.0000 2.4096
P 2.4096 2.4096 0.0000
```

Results
ΔE to the lowest computed polymorph (kJ per mole of atoms): 120.2
Electronic total energy (eV/cell): -18.46
Space group: Pm-3m (221)
DOS(E_F) (states/eV/f.u.): 6.23
Crystal system: cubic

Zr3ScFe: relaxed, GGA-PBE.

Cell and atoms, written as extended XYZ:
```
20
Lattice="10.5029 0.0000 0.0000 0.0000 3.2141 0.0000 0.0000 0.0000 12.5435" Properties=species:S:1:pos:R:3 pbc="T T T"
Zr 0.3402 0.8035 2.2704
Zr 0.4476 2.4106 4.9945
Zr 2.2667 0.8035 9.3380
Zr 2.9847 2.4106 3.0662
Zr 4.8038 0.8035 11.2663
Zr 4.9112 2.4106 8.5422
Zr 5.5916 0.8035 4.0013
Zr 5.6990 2.4106 1.2772
Zr 7.5182 0.8035 9.4773
Zr 8.2361 2.4106 3.2055
Zr 10.0553 0.8035 7.5490
Zr 10.1627 2.4106 10.2730
Sc 1.9353 2.4106 12.4318
Sc 3.3161 0.8035 6.1601
Sc 7.1868 2.4106 6.3834
Sc 8.5676 0.8035 0.1117
Fe 1.5987 2.4106 7.4145
Fe 3.6528 0.8035 1.1428
Fe 6.8501 2.4106 11.4007
Fe 8.9042 0.8035 5.1290
```

Results
ΔE to the lowest computed polymorph (kJ per mole of atoms): 0.0
Electronic total energy (eV/cell): -162.60
Space group: Pnma (62)
DOS(E_F) (states/eV/f.u.): 5.36
Crystal system: orthorhombic